Computed, not measured: a relaxed SrPu2Au3 crystal at the PBE-GGA level of DFT.

Cell lengths 3.6955, 3.6955, 11.1929 Å; angles 90.00, 90.00, 90.00 degrees
Space group P4/mmm (No. 123)
Unique sites:
Sr 0.0000 0.0000 0.0000 [1 per cell]
Pu 0.0000 0.0000 0.3412 [2 per cell]
Au 0.5000 0.5000 0.1856 [2 per cell]
Au 0.5000 0.5000 0.5000 [1 per cell]

Results
calculated formation energy = -0.496 eV/atom

Computed, not measured: a relaxed LiLu2Th crystal at the PBE-GGA level of DFT.

Cell lengths 3.5982, 3.5982, 8.4609 Å; angles 90.00, 90.00, 90.00 degrees
Space group P4/mmm (No. 123)
Unique sites:
Li 0.0000 0.0000 0.0000 [1 per cell]
Lu 0.5000 0.5000 0.2258 [2 per cell]
Th 0.0000 0.0000 0.5000 [1 per cell]

Results
calculated formation energy = 0.068 eV/atom
offset from the most stable computed form = 0 meV/atom

Computed, not measured: a relaxed Ba2PuBi3Pt4 crystal at the PBE-GGA level of DFT.

Cell lengths 4.9107, 4.9107, 11.3793 Å; angles 90.00, 90.00, 90.00 degrees
Space group P-4m2 (No. 115)
Unique sites:
Ba 0.0000 0.5000 0.2293 [2 per cell]
Pu 0.0000 0.0000 0.5000 [1 per cell]
Bi 0.0000 0.5000 0.8807 [2 per cell]
Bi 0.5000 0.5000 0.5000 [1 per cell]
Pt 0.0000 0.0000 0.0000 [1 per cell]
Pt 0.0000 0.5000 0.6346 [2 per cell]
Pt 0.5000 0.5000 0.0000 [1 per cell]

Results
calculated formation energy = -0.617 eV/atom

Computed, not measured: a relaxed Ce4Tl2Os crystal at the PBE-GGA level of DFT.

Cell lengths 6.5744, 3.8302, 8.5089 Å; angles 90.00, 101.21, 90.00 degrees
Space group P2/m (No. 10)
Unique sites:
Ce 0.0670 0.0000 0.3448 [2 per cell]
Ce 0.2863 0.5000 0.0124 [2 per cell]
Tl 0.3788 0.5000 0.6404 [2 per cell]
Os 0.0000 0.0000 0.0000 [1 per cell]

Results
calculated formation energy = -0.050 eV/atom

Computed, not measured: a relaxed CsIn2GeRu crystal at the PBE-GGA level of DFT.

Cell lengths 5.3096, 5.3096, 4.8787 Å; angles 90.00, 90.00, 90.00 degrees
Space group P4/mmm (No. 123)
Unique sites:
Cs 0.0000 0.0000 0.0000 [1 per cell]
In 0.0000 0.5000 0.5000 [2 per cell]
Ge 0.5000 0.5000 0.0000 [1 per cell]
Ru 0.5000 0.5000 0.5000 [1 per cell]

Results
calculated formation energy = -0.035 eV/atom

Computed, not measured: a relaxed AcIF crystal at the PBE-GGA level of DFT.

Cell lengths 7.3805, 7.3805, 7.3805 Å; angles 90.00, 90.00, 90.00 degrees
Space group F-43m (No. 216)
Unique sites:
Ac 0.0000 0.0000 0.0000 [4 per cell]
I 0.2500 0.2500 0.2500 [4 per cell]
F 0.2500 0.2500 0.7500 [4 per cell]

Results
offset from the most stable computed form = 672 meV/atom

Computed, not measured: a relaxed Pr5Er5Tm2 crystal at the PBE-GGA level of DFT.

Cell lengths 15.2669, 5.0653, 11.3546 Å; angles 90.00, 116.63, 90.00 degrees
Space group C2/m (No. 12)
Unique sites:
Pr 0.0000 0.0000 0.0000 [2 per cell]
Pr 0.0811 0.0000 0.7475 [4 per cell]
Pr 0.2489 0.0000 0.2518 [4 per cell]
Er 0.0000 0.5000 0.5000 [2 per cell]
Er 0.0850 0.5000 0.2539 [4 per cell]
Er 0.1672 0.5000 0.9998 [4 per cell]
Tm 0.1670 0.0000 0.4989 [4 per cell]

Results
calculated formation energy = 0.023 eV/atom

Computed, not measured: a relaxed SmZn2Ga crystal at the PBE-GGA level of DFT.

Cell lengths 4.3015, 4.3015, 15.1938 Å; angles 90.00, 90.00, 120.00 degrees
Space group R-3m (No. 166, hexagonal axes)
Unique sites:
Sm 0.0000 0.0000 0.0000 [3 per cell]
Zn 0.0000 0.0000 0.2161 [6 per cell]
Ga 0.0000 0.0000 0.5000 [3 per cell]

Results
calculated formation energy = -0.322 eV/atom

Computed, not measured: a relaxed ZnRh2Br crystal at the PBE-GGA level of DFT.

Cell lengths 3.0535, 3.8629, 5.5424 Å; angles 90.00, 90.00, 90.00 degrees
Space group Pmm2 (No. 25)
Unique sites:
Zn 0.0000 0.0000 0.0000 [1 per cell]
Rh 0.0000 0.0000 0.5363 [1 per cell]
Rh 0.5000 0.5000 0.8239 [1 per cell]
Br 0.5000 0.5000 0.3655 [1 per cell]

Results
offset from the most stable computed form = 132 meV/atom

Computed, not measured: a relaxed Sr3Cl crystal at the PBE-GGA level of DFT.

Cell lengths 12.5306, 12.5306, 4.1166 Å; angles 90.00, 90.00, 120.00 degrees
Space group R-3m (No. 166, hexagonal axes)
Unique sites:
Sr 0.0000 0.5000 0.0000 [9 per cell]
Cl 0.0000 0.0000 0.0000 [3 per cell]

Results
offset from the most stable computed form = 365 meV/atom

Computed, not measured: a relaxed Mn2ZnRu2 crystal at the PBE-GGA level of DFT.

Cell lengths 7.0810, 7.0810, 2.6699 Å; angles 90.00, 90.00, 90.00 degrees
Space group P4/mbm (No. 127)
Unique sites:
Mn 0.1189 0.3811 0.0000 [4 per cell]
Zn 0.0000 0.0000 0.0000 [2 per cell]
Ru 0.1695 0.6695 0.5000 [4 per cell]

Results
calculated formation energy = 0.188 eV/atom
offset from the most stable computed form = 0 meV/atom

Computed, not measured: a relaxed TlGaI5 crystal at the PBE-GGA level of DFT.

Cell lengths 8.5899, 8.8418, 10.5638 Å; angles 110.94, 104.19, 100.16 degrees
Space group P-1 (No. 2)
Unique sites:
Tl 0.0000 0.0000 0.0000 [1 per cell]
Tl 0.5000 0.0000 0.5000 [1 per cell]
Ga 0.1694 0.4497 0.7762 [2 per cell]
I 0.1236 0.6748 0.4153 [2 per cell]
I 0.2013 0.1578 0.2952 [2 per cell]
I 0.2155 0.3466 0.9788 [2 per cell]
I 0.2758 0.7786 0.8995 [2 per cell]
I 0.3948 0.3772 0.6485 [2 per cell]

Results
energy = -2.301 eV per atom

Computed, not measured: a relaxed ReTeW crystal at the PBE-GGA level of DFT.

Cell lengths 6.2055, 6.2055, 6.2055 Å; angles 90.00, 90.00, 90.00 degrees
Space group F-43m (No. 216)
Unique sites:
Re 0.0000 0.0000 0.0000 [4 per cell]
Te 0.2500 0.2500 0.2500 [4 per cell]
W 0.2500 0.2500 0.7500 [4 per cell]

Results
offset from the most stable computed form = 14 meV/atom

Computed, not measured: a relaxed VIn2Ga crystal at the PBE-GGA level of DFT.

Cell lengths 4.9869, 12.8497, 5.6035 Å; angles 90.00, 115.58, 90.00 degrees
Space group C2/m (No. 12)
Unique sites:
V 0.0000 0.2026 0.0000 [4 per cell]
In 0.0000 0.1973 0.5000 [4 per cell]
In 0.1899 0.0000 0.2877 [4 per cell]
Ga 0.0000 0.3974 0.0000 [4 per cell]

Results
calculated formation energy = 0.086 eV/atom

Computed, not measured: a relaxed Sr2SnHg6 crystal at the PBE-GGA level of DFT.

Cell lengths 9.3770, 10.2132, 5.2225 Å; angles 90.00, 90.00, 90.00 degrees
Space group Pnnm (No. 58)
Unique sites:
Sr 0.1585 0.2266 0.0000 [4 per cell]
Sn 0.0000 0.0000 0.5000 [2 per cell]
Hg 0.0016 0.6504 0.5000 [4 per cell]
Hg 0.1608 0.5774 0.0000 [4 per cell]
Hg 0.1790 0.8953 0.0000 [4 per cell]

Results
calculated formation energy = -0.358 eV/atom

Computed, not measured: a relaxed Mg2CrFe crystal at the PBE-GGA level of DFT.

Cell lengths 2.6316, 4.4630, 5.2702 Å; angles 90.00, 101.56, 90.00 degrees
Space group P2/m (No. 10)
Unique sites:
Mg 0.2295 0.0000 0.2541 [2 per cell]
Cr 0.5000 0.5000 0.0000 [1 per cell]
Fe 0.0000 0.5000 0.5000 [1 per cell]

Results
calculated formation energy = 0.504 eV/atom
offset from the most stable computed form = 309 meV/atom

Computed, not measured: a relaxed Sc2Cr2Bi crystal at the PBE-GGA level of DFT.

Cell lengths 7.0293, 7.0293, 3.9693 Å; angles 90.00, 90.00, 90.00 degrees
Space group P4/mbm (No. 127)
Unique sites:
Sc 0.1791 0.3209 0.0000 [4 per cell]
Cr 0.0966 0.5966 0.5000 [4 per cell]
Bi 0.0000 0.0000 0.5000 [2 per cell]

Results
calculated formation energy = 0.074 eV/atom

Computed, not measured: a relaxed LiTiZnGa crystal at the PBE-GGA level of DFT.

Cell lengths 3.1590, 4.3567, 4.4639 Å; angles 90.00, 90.00, 90.00 degrees
Space group Pmmm (No. 47)
Unique sites:
Li 0.0000 0.0000 0.0000 [1 per cell]
Ti 0.0000 0.5000 0.5000 [1 per cell]
Zn 0.5000 0.5000 0.0000 [1 per cell]
Ga 0.5000 0.0000 0.5000 [1 per cell]

Results
calculated formation energy = -0.294 eV/atom
offset from the most stable computed form = 0 meV/atom

Computed, not measured: a relaxed SrBeO2 crystal at the PBE-GGA level of DFT.

Cell lengths 7.6381, 7.8444, 4.1632 Å; angles 90.00, 90.00, 90.00 degrees
Space group Cccm (No. 66)
Unique sites:
Sr 0.2500 0.2500 0.0000 [4 per cell]
Be 0.0000 0.0000 0.2500 [4 per cell]
O 0.1162 0.1140 0.5000 [8 per cell]

Results
energy = -6.425 eV per atom

Computed, not measured: a relaxed La16Ho7Er6 crystal at the PBE-GGA level of DFT.

Cell lengths 16.1802, 16.1802, 16.1802 Å; angles 90.00, 90.00, 90.00 degrees
Space group Fm-3m (No. 225)
Unique sites:
La 0.1249 0.1249 0.1249 [32 per cell]
La 0.1475 0.1475 0.3525 [32 per cell]
Ho 0.0000 0.0000 0.0000 [4 per cell]
Ho 0.0000 0.2500 0.2500 [24 per cell]
Er 0.0000 0.0000 0.2589 [24 per cell]

Results
calculated formation energy = 0.192 eV/atom

Number 1: spin magnetization 11.6 μB per formula unit. Number 2: spin magnetization 0.0 μB per formula unit. Number 3: spin magnetization 5.6 μB per formula unit. Number 4: spin magnetization 3.2 μB per formula unit. Number 5: spin magnetization 0.0 μB per formula unit. Number 6: spin magnetization 0.6 μB per formula unit. Number 7: spin magnetization 0.0 μB per formula unit. Number 8: spin magnetization 0.0 μB per formula unit. Number 9: spin magnetization 0.0 μB per formula unit. Number 10: spin magnetization 0.0 μB per formula unit. Number 11: spin magnetization 0.0 μB per formula unit. Number 12: spin magnetization 0.0 μB per formula unit. Number 13: spin magnetization 0.0 μB per formula unit. Number 14: spin magnetization 0.0 μB per formula unit. Number 15: spin magnetization 0.0 μB per formula unit. Number 16: spin magnetization 3.6 μB per formula unit. Number 17: spin magnetization 0.0 μB per formula unit. Number 18: spin magnetization 0.0 μB per formula unit. Number 19: spin magnetization 0.0 μB per formula unit. Number 20: spin magnetization 0.0 μB per formula unit.